Below is a geometry-optimized CaAc3Pt structure, with properties calculated at the PBE level.

Cell: 6.015 6.015 6.015 Å, 90.00 90.00 90.00°
Fractional positions:
Ca  0.000  0.000  0.000
Ac  0.000  0.500  0.500
Ac  0.500  0.000  0.500
Ac  0.500  0.500  0.000
Pt  0.500  0.500  0.500

## Properties
E_tot, eV per atom: -4.473
Mass density, Mg/m³: 7.0
ΔE to the lowest computed polymorph, eV per atom: 0.0289

***

Below is a geometry-optimized Ga3BiN structure, with properties calculated at the PBE level.

Cell: 5.551 5.551 5.551 Å, 90.00 90.00 90.00°
Fractional positions:
Ga  0.000  0.000  0.500
Ga  0.000  0.500  0.000
Ga  0.500  0.000  0.000
Bi  0.000  0.000  0.000
N  0.500  0.500  0.500

## Properties
E_tot, eV per atom: -2.505
Mass density, Mg/m³: 4.2
Formation energy without anion corrections, kJ per mole of atoms: 169.1
ΔE to the lowest computed polymorph, eV per atom: 1.4007

***

Below is a geometry-optimized SrTaFe2S structure, with properties calculated at the PBE level.

Cell: 4.377 4.377 5.076 Å, 90.00 90.00 90.00°
Fractional positions:
Sr  0.000  0.000  0.000
Ta  0.500  0.500  0.500
Fe  0.000  0.500  0.000
Fe  0.500  0.000  0.000
S  0.000  0.000  0.500

## Properties
E_tot, eV per atom: -4.598
Mass density, Mg/m³: 7.0
Formation energy without anion corrections, kJ per mole of atoms: 223.8
ΔE to the lowest computed polymorph, eV per atom: 1.9515

***

Below is a geometry-optimized Ac3Tb4Nd4 structure, with properties calculated at the PBE level.

Cell: 3.683 5.855 18.926 Å, 81.14 84.47 89.98°
Fractional positions:
Ac  0.000  0.000  0.000
Ac  0.140  0.637  0.723
Ac  0.860  0.363  0.277
Tb  0.265  0.265  0.471
Tb  0.409  0.909  0.184
Tb  0.591  0.091  0.816
Tb  0.735  0.735  0.529
Nd  0.317  0.818  0.365
Nd  0.450  0.455  0.092
Nd  0.550  0.545  0.908
Nd  0.683  0.182  0.635

## Properties
E_tot, eV per atom: -4.513
Mass density, Mg/m³: 7.8

***

Below is a geometry-optimized Dy4CdAg3 structure, with properties calculated at the PBE level.

Cell: 3.652 5.188 10.359 Å, 90.00 90.00 90.00°
Fractional positions:
Dy  0.000  0.000  0.000
Dy  0.000  0.000  0.500
Dy  0.000  0.500  0.244
Dy  0.000  0.500  0.756
Cd  0.500  0.500  0.500
Ag  0.500  0.000  0.253
Ag  0.500  0.000  0.747
Ag  0.500  0.500  0.000

## Properties
E_tot, eV per atom: -3.799
Mass density, Mg/m³: 9.2
ΔE to the lowest computed polymorph, eV per atom: 0.0000

***

Below is a geometry-optimized Ba3Li2Tl6In structure, with properties calculated at the PBE level.

Cell: 6.695 6.695 10.638 Å, 90.00 90.00 120.00°
Fractional positions:
Ba  0.000  0.000  0.000
Ba  0.333  0.667  0.592
Ba  0.667  0.333  0.408
Li  0.333  0.667  0.988
Li  0.667  0.333  0.012
Tl  0.175  0.349  0.258
Tl  0.175  0.825  0.258
Tl  0.349  0.175  0.742
Tl  0.651  0.825  0.258
Tl  0.825  0.175  0.742
Tl  0.825  0.651  0.742
In  0.000  0.000  0.500

## Properties
E_tot, eV per atom: -2.410
Mass density, Mg/m³: 7.1

***

Below is a geometry-optimized YAs4P structure, with properties calculated at the PBE level.

Cell: 5.564 5.564 5.564 Å, 60.00 60.00 60.00°
Fractional positions:
Y  0.000  0.000  0.000
As  0.131  0.623  0.623
As  0.623  0.131  0.623
As  0.623  0.623  0.131
As  0.623  0.623  0.623
P  0.250  0.250  0.250

## Properties
E_tot, eV per atom: -5.044
Mass density, Mg/m³: 5.7

***

Below is a geometry-optimized Na5Ti2F12 structure, with properties calculated at the PBE level.

Cell: 7.087 7.087 7.616 Å, 108.70 108.70 51.13°
Fractional positions:
Na  0.000  0.000  0.000
Na  0.277  0.277  0.076
Na  0.321  0.321  0.714
Na  0.679  0.679  0.286
Na  0.723  0.723  0.924
Ti  0.257  0.743  0.500
Ti  0.743  0.257  0.500
F  0.019  0.019  0.672
F  0.099  0.604  0.929
F  0.111  0.587  0.454
F  0.396  0.901  0.071
F  0.413  0.889  0.546
F  0.481  0.481  0.312
F  0.519  0.519  0.688
F  0.587  0.111  0.454
F  0.604  0.099  0.929
F  0.889  0.413  0.546
F  0.901  0.396  0.071
F  0.981  0.981  0.328

## Properties
E_tot, eV per atom: -5.311
Mass density, Mg/m³: 2.6
Formation energy without anion corrections, kJ per mole of atoms: -284.7

***

Below is a geometry-optimized TiSe2O5 structure, with properties calculated at the PBE level.

Cell: 9.996 8.105 5.537 Å, 90.00 90.00 90.00°
Fractional positions:
Ti  0.000  0.069  0.250
Ti  0.000  0.931  0.750
Ti  0.500  0.431  0.750
Ti  0.500  0.569  0.250
Se  0.169  0.461  0.198
Se  0.169  0.539  0.698
Se  0.331  0.039  0.698
Se  0.331  0.961  0.198
Se  0.669  0.039  0.802
Se  0.669  0.961  0.302
Se  0.831  0.461  0.302
Se  0.831  0.539  0.802
O  0.000  0.452  0.750
O  0.000  0.548  0.250
O  0.105  0.070  0.564
O  0.105  0.930  0.064
O  0.140  0.259  0.155
O  0.140  0.741  0.655
O  0.360  0.241  0.655
O  0.360  0.759  0.155
O  0.395  0.430  0.064
O  0.395  0.570  0.564
O  0.500  0.048  0.250
O  0.500  0.952  0.750
O  0.605  0.430  0.436
O  0.605  0.570  0.936
O  0.640  0.241  0.845
O  0.640  0.759  0.345
O  0.860  0.259  0.345
O  0.860  0.741  0.845
O  0.895  0.070  0.936
O  0.895  0.930  0.436

## Properties
E_tot, eV per atom: -6.317
Mass density, Mg/m³: 4.2
Formation energy without anion corrections, kJ per mole of atoms: -131.2

***

Below is a geometry-optimized Ho8ZnRu5 structure, with properties calculated at the PBE level.

Cell: 7.415 7.415 7.415 Å, 108.98 108.98 110.46°
Fractional positions:
Ho  0.007  0.617  0.739
Ho  0.257  0.516  0.117
Ho  0.383  0.122  0.390
Ho  0.399  0.140  0.883
Ho  0.484  0.601  0.741
Ho  0.732  0.993  0.610
Ho  0.860  0.743  0.259
Ho  0.878  0.268  0.261
Zn  0.000  0.000  0.000
Ru  0.112  0.208  0.597
Ru  0.250  0.750  0.500
Ru  0.485  0.888  0.096
Ru  0.611  0.515  0.403
Ru  0.792  0.389  0.904

## Properties
E_tot, eV per atom: -6.261
Mass density, Mg/m³: 10.0